The following is a PBE-GGA calculation of a relaxed AlZnN2O crystal, from the Alexandria database.

Output
formation energy without anion corrections = 242 meV per atom
DOS(E_F) = 0.42 states/eV per atom
magnetic moment = 2.5 μB/cell

a = 3.8440 Å, b = 3.8440 Å, c = 3.6473 Å
α = 90.00°, β = 90.00°, γ = 90.00°
Fractional positions:
1 Al 0.0000 0.0000 0.0000
2 Zn 0.5000 0.5000 0.5000
3 N 0.0000 0.5000 0.0000
4 N 0.5000 0.0000 0.0000
5 O 0.0000 0.0000 0.5000